1.
Below is Sm4ScAg5 after structural relaxation, with properties calculated at the GGA-PBE level.

Values from the calculation:
* N(E_F): 5.619 states/eV/cell
* energy of formation from the pure elements: -0.2700 eV/atom

Cell lengths 3.621, 3.621, 18.650 Å; angles 90.00, 90.00, 90.00 degrees
Space group P4/mmm (No. 123)
Symmetry-distinct sites (fractional):
Sm1 0.000 0.000 0.103 [2 per cell]
Sm2 0.000 0.000 0.309 [2 per cell]
Sc1 0.000 0.000 0.500 [1 per cell]
Ag1 0.500 0.500 0.000 [1 per cell]
Ag2 0.500 0.500 0.206 [2 per cell]
Ag3 0.500 0.500 0.416 [2 per cell]

=====

2.
Below is Na3AlGa after structural relaxation, with properties calculated at the GGA-PBE level.

Values from the calculation:
* excess energy over the best structure of this formula in the dataset: 0.0 meV per atom
* N(E_F): 3.553 states/eV/cell
* energy of formation from the pure elements: 0.4856 eV/atom

Cell lengths 5.574, 5.574, 5.574 Å; angles 90.00, 90.00, 90.00 degrees
Space group Pm-3m (No. 221)
Symmetry-distinct sites (fractional):
Na1 0.000 0.000 0.500 [3 per cell]
Al1 0.500 0.500 0.500 [1 per cell]
Ga1 0.000 0.000 0.000 [1 per cell]

=====

3.
Below is DyTl2Ir3O12 after structural relaxation, with properties calculated at the GGA-PBE level.

Values from the calculation:
* ΔE_f (raw): -0.95 eV/atom
* N(E_F): 35.726 states/eV/cell

Cell lengths 7.3866, 7.3866, 15.1808 Å; angles 90.00, 90.00, 120.00 degrees
Space group R-3m (No. 166, hexagonal axes)
Symmetry-distinct sites (fractional):
Dy1 0.0000 0.0000 0.0000 [3 per cell]
Tl1 0.0000 0.0000 0.3878 [6 per cell]
Ir1 0.0000 0.5000 0.5000 [9 per cell]
O1 0.0262 0.5131 0.3755 [18 per cell]
O2 0.0707 0.5353 0.8179 [18 per cell]

=====

4.
Below is Ta2Ti4Tc after structural relaxation, with properties calculated at the GGA-PBE level.

Values from the calculation:
* N(E_F): 9.184 states/eV/cell
* energy of formation from the pure elements: -0.0956 eV/atom

Cell lengths 2.889, 6.916, 6.929 Å; angles 117.02, 99.62, 97.04 degrees
Space group P-1 (No. 2)
Symmetry-distinct sites (fractional):
Ta1 0.057 0.283 0.431 [2 per cell]
Ti1 0.289 0.858 0.271 [2 per cell]
Ti2 0.385 0.407 0.134 [2 per cell]
Tc1 0.500 0.000 0.000 [1 per cell]

=====

5.
Below is CrPd2Se4 after structural relaxation, with properties calculated at the GGA-PBE level.

Values from the calculation:
* ΔE_f (raw): -0.37 eV/atom
* N(E_F): 11.594 states/eV/cell

Cell lengths 7.468, 7.468, 10.570 Å; angles 90.00, 90.00, 90.00 degrees
Space group P4_122 (No. 91)
Symmetry-distinct sites (fractional):
Cr1 0.000 0.241 0.000 [4 per cell]
Pd1 0.241 0.500 0.750 [4 per cell]
Pd2 0.259 0.259 0.375 [4 per cell]
Se1 0.012 0.245 0.762 [8 per cell]
Se2 0.246 0.471 0.990 [8 per cell]

=====

6.
Below is InNiSn2 after structural relaxation, with properties calculated at the GGA-PBE level.

Values from the calculation:
* N(E_F): 9.230 states/eV/cell
* energy of formation from the pure elements: 0.3661 eV/atom

Cell lengths 3.1658, 3.1658, 33.6258 Å; angles 90.00, 90.00, 120.00 degrees
Space group R-3m (No. 166, hexagonal axes)
Symmetry-distinct sites (fractional):
In1 0.0000 0.0000 0.0000 [3 per cell]
Ni1 0.0000 0.0000 0.5000 [3 per cell]
Sn1 0.0000 0.0000 0.4252 [6 per cell]

=====

7.
Below is TbY4Tm5 after structural relaxation, with properties calculated at the GGA-PBE level.

Values from the calculation:
* excess energy over the best structure of this formula in the dataset: 0.0 meV per atom
* N(E_F): 17.751 states/eV/cell
* energy of formation from the pure elements: 0.0006 eV/atom

Cell lengths 6.241, 6.658, 9.131 Å; angles 72.40, 89.97, 62.07 degrees
Space group P1 (No. 1)
Symmetry-distinct sites (fractional):
Tb1 0.000 0.000 0.000 [1 per cell]
Y1 0.068 0.203 0.298 [1 per cell]
Y2 0.397 0.203 0.801 [1 per cell]
Y3 0.667 0.002 0.499 [1 per cell]
Y4 0.800 0.402 0.600 [1 per cell]
Tm1 0.202 0.603 0.398 [1 per cell]
Tm2 0.265 0.801 0.700 [1 per cell]
Tm3 0.468 0.404 0.099 [1 per cell]
Tm4 0.601 0.802 0.199 [1 per cell]
Tm5 0.865 0.603 0.900 [1 per cell]

=====

8.
Below is Er2Th2Ni15 after structural relaxation, with properties calculated at the GGA-PBE level.

Values from the calculation:
* N(E_F): 84.579 states/eV/cell
* energy of formation from the pure elements: -0.2935 eV/atom

Cell lengths 8.5268, 8.5268, 12.7931 Å; angles 90.00, 90.00, 120.00 degrees
Space group R-3m (No. 166, hexagonal axes)
Symmetry-distinct sites (fractional):
Er1 0.0000 0.0000 0.1083 [6 per cell]
Th1 0.0000 0.0000 0.3572 [6 per cell]
Ni1 0.0000 0.3105 0.0000 [18 per cell]
Ni2 0.0000 0.5000 0.5000 [9 per cell]
Ni3 0.0089 0.5044 0.1565 [18 per cell]

=====

9.
Below is CeCd2Pd9 after structural relaxation, with properties calculated at the GGA-PBE level.

Values from the calculation:
* N(E_F): 12.607 states/eV/cell
* energy of formation from the pure elements: -0.4452 eV/atom

Cell lengths 4.097, 4.097, 12.110 Å; angles 90.00, 90.00, 90.00 degrees
Space group P4/mmm (No. 123)
Symmetry-distinct sites (fractional):
Ce1 0.000 0.000 0.000 [1 per cell]
Cd1 0.000 0.000 0.338 [2 per cell]
Pd1 0.000 0.500 0.169 [4 per cell]
Pd2 0.000 0.500 0.500 [2 per cell]
Pd3 0.500 0.500 0.000 [1 per cell]
Pd4 0.500 0.500 0.334 [2 per cell]

=====

10.
Below is ScOsCl2 after structural relaxation, with properties calculated at the GGA-PBE level.

Values from the calculation:
* excess energy over the best structure of this formula in the dataset: 767.4 meV per atom
* ΔE_f (raw): 0.22 eV/atom
* N(E_F): 3.684 states/eV/cell

Cell lengths 4.236, 4.236, 3.618 Å; angles 90.00, 90.00, 90.00 degrees
Space group P4/mmm (No. 123)
Symmetry-distinct sites (fractional):
Sc1 0.000 0.000 0.000 [1 per cell]
Os1 0.500 0.500 0.000 [1 per cell]
Cl1 0.000 0.500 0.500 [2 per cell]

=====

11.
Below is Tm2TiO5 after structural relaxation, with properties calculated at the GGA-PBE level.

Values from the calculation:
* excess energy over the best structure of this formula in the dataset: 0.0 meV per atom
* ΔE_f (raw): -3.48 eV/atom
* N(E_F): 0.000 states/eV/cell

Cell lengths 10.299, 3.649, 11.208 Å; angles 90.00, 90.00, 90.00 degrees
Space group Pnma (No. 62)
Symmetry-distinct sites (fractional):
Tm1 0.119 0.250 0.225 [4 per cell]
Tm2 0.135 0.250 0.556 [4 per cell]
Ti1 0.171 0.250 0.882 [4 per cell]
O1 0.002 0.250 0.846 [4 per cell]
O2 0.006 0.750 0.605 [4 per cell]
O3 0.225 0.250 0.045 [4 per cell]
O4 0.238 0.750 0.885 [4 per cell]
O5 0.247 0.750 0.229 [4 per cell]

=====

12.
Below is KMg2Tc after structural relaxation, with properties calculated at the GGA-PBE level.

Values from the calculation:
* excess energy over the best structure of this formula in the dataset: 169.3 meV per atom
* N(E_F): 4.412 states/eV/cell
* energy of formation from the pure elements: 0.6265 eV/atom

Cell lengths 3.0088, 3.0088, 33.5658 Å; angles 90.00, 90.00, 120.00 degrees
Space group R3m (No. 160, hexagonal axes)
Symmetry-distinct sites (fractional):
K1 0.0000 0.0000 0.0000 [3 per cell]
Mg1 0.0000 0.0000 0.2324 [3 per cell]
Mg2 0.0000 0.0000 0.4832 [3 per cell]
Tc1 0.0000 0.0000 0.7516 [3 per cell]

=====

13.
Below is Ag4BiS4 after structural relaxation, with properties calculated at the GGA-PBE level.

Values from the calculation:
* ΔE_f (raw): 0.07 eV/atom
* N(E_F): 14.706 states/eV/cell

Cell lengths 6.112, 6.112, 12.041 Å; angles 90.00, 90.00, 90.00 degrees
Space group I-42m (No. 121)
Symmetry-distinct sites (fractional):
Ag1 0.000 0.000 0.246 [4 per cell]
Ag2 0.000 0.500 0.000 [4 per cell]
Bi1 0.000 0.000 0.500 [2 per cell]
S1 0.243 0.243 0.130 [8 per cell]

=====

14.
Below is Mn2Hg2Bi after structural relaxation, with properties calculated at the GGA-PBE level.

Values from the calculation:
* excess energy over the best structure of this formula in the dataset: 70.1 meV per atom
* N(E_F): 7.439 states/eV/cell
* energy of formation from the pure elements: 0.4357 eV/atom

Cell lengths 4.077, 4.077, 13.528 Å; angles 90.00, 90.00, 90.00 degrees
Space group I4/mmm (No. 139)
Symmetry-distinct sites (fractional):
Mn1 0.000 0.000 0.094 [4 per cell]
Hg1 0.000 0.500 0.250 [4 per cell]
Bi1 0.000 0.000 0.500 [2 per cell]

=====

15.
Below is ErPaAgGe after structural relaxation, with properties calculated at the GGA-PBE level.

Values from the calculation:
* N(E_F): 34.334 states/eV/cell
* energy of formation from the pure elements: -0.1605 eV/atom

Cell lengths 7.172, 7.172, 7.172 Å; angles 90.00, 90.00, 90.00 degrees
Space group F-43m (No. 216)
Symmetry-distinct sites (fractional):
Er1 0.000 0.000 0.000 [4 per cell]
Pa1 0.000 0.000 0.500 [4 per cell]
Ag1 0.250 0.250 0.750 [4 per cell]
Ge1 0.250 0.250 0.250 [4 per cell]

=====

16.
Below is Cs2AgRhF6 after structural relaxation, with properties calculated at the GGA-PBE level.

Values from the calculation:
* ΔE_f (raw): -2.02 eV/atom

Cell lengths 9.004, 9.004, 9.004 Å; angles 90.00, 90.00, 90.00 degrees
Space group Fm-3m (No. 225)
Symmetry-distinct sites (fractional):
Cs1 0.250 0.250 0.250 [8 per cell]
Ag1 0.000 0.000 0.000 [4 per cell]
Rh1 0.000 0.000 0.500 [4 per cell]
F1 0.000 0.000 0.273 [24 per cell]

=====

17.
Below is KLiNi2 after structural relaxation, with properties calculated at the GGA-PBE level.

Values from the calculation:
* excess energy over the best structure of this formula in the dataset: 384.2 meV per atom
* N(E_F): 10.399 states/eV/cell
* energy of formation from the pure elements: 0.7426 eV/atom

Cell lengths 3.795, 3.795, 9.305 Å; angles 90.00, 90.00, 90.00 degrees
Space group I4/mmm (No. 139)
Symmetry-distinct sites (fractional):
K1 0.000 0.000 0.000 [2 per cell]
Li1 0.000 0.000 0.500 [2 per cell]
Ni1 0.000 0.500 0.250 [4 per cell]

=====

18.
Below is Na2CoSN after structural relaxation, with properties calculated at the GGA-PBE level.

Values from the calculation:
* ΔE_f (raw): 0.11 eV/atom
* N(E_F): 6.834 states/eV/cell

Cell lengths 5.461, 5.461, 3.369 Å; angles 90.00, 90.00, 90.00 degrees
Space group P4/mmm (No. 123)
Symmetry-distinct sites (fractional):
Na1 0.000 0.500 0.000 [2 per cell]
Co1 0.000 0.000 0.000 [1 per cell]
S1 0.500 0.500 0.500 [1 per cell]
N1 0.000 0.000 0.500 [1 per cell]

=====

19.
Below is Sm3Dy2PaAs6 after structural relaxation, with properties calculated at the GGA-PBE level.

Values from the calculation:
* N(E_F): 8.712 states/eV/cell
* energy of formation from the pure elements: -1.4691 eV/atom

Cell lengths 7.193, 12.458, 7.210 Å; angles 90.00, 109.39, 90.00 degrees
Space group C2/m (No. 12)
Symmetry-distinct sites (fractional):
Sm1 0.000 0.000 0.000 [2 per cell]
Sm2 0.000 0.332 0.000 [4 per cell]
Dy1 0.000 0.166 0.500 [4 per cell]
Pa1 0.000 0.500 0.500 [2 per cell]
As1 0.245 0.336 0.742 [8 per cell]
As2 0.248 0.500 0.259 [4 per cell]

=====

20.
Below is MnTl2B after structural relaxation, with properties calculated at the GGA-PBE level.

Values from the calculation:
* N(E_F): 28.496 states/eV/cell
* energy of formation from the pure elements: 1.6168 eV/atom

Cell lengths 6.648, 6.648, 6.648 Å; angles 90.00, 90.00, 90.00 degrees
Space group Fm-3m (No. 225)
Symmetry-distinct sites (fractional):
Mn1 0.000 0.000 0.000 [4 per cell]
Tl1 0.250 0.250 0.250 [8 per cell]
B1 0.000 0.000 0.500 [4 per cell]

=====

These records have spin magnetization values of 0.00, 0.00, 0.00, 0.00, 2.53, 0.00, 0.00, 0.01, 0.00, 0.00, 0.00, 0.00, 0.00, 7.80, 1.43, 0.20, 0.37, 0.74, 0.00, 0.45 μB per formula unit, in the order they appear.